An optimized crystal structure of Pr2VTcN5. Source: Alexandria via LeMat-Bulk, functional PBE.

extended XYZ file:
```
18
Lattice="1.7020 -6.9836 0.0000 1.7020 6.9836 0.0000 0.0000 0.0000 10.0152" Properties=species:S:1:pos:R:3 pbc="T T T"
Pr 1.7020 5.3134 5.0076
Pr 1.7020 5.1012 1.2719
Pr 1.7020 -5.1012 6.2795
Pr 1.7020 -5.3134 0.0000
V 1.7020 0.8070 2.6554
V 1.7020 -0.8070 7.6630
Tc 1.7020 4.0588 8.4477
Tc 1.7020 -4.0588 3.4401
N 1.7020 6.3986 8.4723
N 1.7020 2.8250 4.6100
N 1.7020 2.5425 1.9824
N 1.7020 2.1654 8.2617
N 1.7020 0.0013 1.1004
N 1.7020 -0.0013 6.1080
N 1.7020 -2.1654 3.2541
N 1.7020 -2.5425 6.9900
N 1.7020 -2.8250 9.6176
N 1.7020 -6.3986 3.4647
```

Summary:
Its total DFT energy (no corrections) is -78.464 eV/f.u.



An optimized crystal structure of LuRh3. Source: Alexandria via LeMat-Bulk, functional PBE.

extended XYZ file:
```
8
Lattice="2.9822 0.0000 0.0000 0.0000 8.9621 0.0000 0.0000 0.0000 4.8221" Properties=species:S:1:pos:R:3 pbc="T T T"
Lu 0.0000 0.0000 0.0000
Lu 1.4911 4.4810 2.4110
Rh 0.0000 2.1972 3.1603
Rh 0.0000 4.4810 4.7610
Rh 0.0000 6.7649 3.1603
Rh 1.4911 0.0000 2.3499
Rh 1.4911 2.2839 0.7493
Rh 1.4911 6.6782 0.7493
```

Summary:
The formation energy is -174 kJ/mol of formula units. Its total DFT energy (no corrections) is -28.382 eV/f.u.



An optimized crystal structure of TaVH2. Source: Alexandria via LeMat-Bulk, functional PBE.

extended XYZ file:
```
16
Lattice="4.6836 0.0000 0.0000 0.0000 4.6836 0.0000 0.0000 0.0000 6.7214" Properties=species:S:1:pos:R:3 pbc="T T T"
Ta 0.0000 0.0000 0.0000
Ta 0.0000 2.3418 1.6804
Ta 2.3418 0.0000 5.0411
Ta 2.3418 2.3418 3.3607
V 0.0000 0.0000 3.3607
V 0.0000 2.3418 5.0411
V 2.3418 0.0000 1.6804
V 2.3418 2.3418 0.0000
H 1.0614 1.1709 4.2009
H 1.1709 3.4032 5.8813
H 1.1709 3.6222 2.5205
H 1.2804 1.1709 0.8402
H 3.4032 3.5127 0.8402
H 3.5127 1.0614 2.5205
H 3.5127 1.2804 5.8813
H 3.6222 3.5127 4.2009
```

Summary:
Its total DFT energy (no corrections) is -28.309 eV/f.u. The offset from the most stable computed form is 2 meV per atom.



An optimized crystal structure of POs2W. Source: Alexandria via LeMat-Bulk, functional PBE.

extended XYZ file:
```
8
Lattice="2.9188 0.0000 0.0000 0.0000 4.7607 0.0000 0.0000 0.0000 8.4381" Properties=species:S:1:pos:R:3 pbc="T T T"
P 0.0000 0.0000 0.0000
P 1.4594 2.3803 0.0000
Os 0.0000 2.3803 1.9195
Os 0.0000 2.3803 6.5186
Os 1.4594 0.0000 1.9195
Os 1.4594 0.0000 6.5186
W 0.0000 0.0000 4.2191
W 1.4594 2.3803 4.2191
```

Summary:
The formation energy is 190 kJ/mol of formula units. Its total DFT energy (no corrections) is -38.849 eV/f.u.